First-principles (PBE) data for crystalline ScTlHgAu at its relaxed geometry, as listed in the Alexandria database.

a = 4.984 Å, b = 4.984 Å, c = 4.984 Å
α = 60.00°, β = 60.00°, γ = 60.00°
Fractional coordinates of all 4 atoms:
Hg  0.500  0.500  0.500
Sc  0.250  0.250  0.250
Au  0.000  0.000  0.000
Tl  0.750  0.750  0.750

Output
- space-group type = F-43m, No. 216
- DFT formation energy (eV/atom) = -0.26
- D(E_F) (states/eV/atom) = 0.5197
- DFT total energy (eV per atom) = -3.33
- spin magnetization (Bohr magnetons per cell) = 0.0